Sc2SiRh after structural relaxation, computed with PBEsol.

POSCAR file:
```
Sc2SiRh
1.0
-2.180 1.700 -1.816
-1.719 -3.576 -1.283
-2.086 -0.731 4.833
Rh Sc Si
1 2 1
direct
0.670 0.500 0.341
0.395 0.500 0.790
0.098 0.000 0.196
0.818 0.000 0.636
```

**Spin magnetization**: 0.0 μB/cell
**Formation energy without anion corrections**: -3.45 eV per formula unit
**Space-group type**: Amm2 (38)